Below is crystalline ScTa3 at its relaxed geometry, with properties calculated at the PBE level.

Values from the calculation:
**SG**: Cmcm
**Formation energy from the elements**: 0.1656 eV/atom
**Energy above the lowest structure with this stoichiometry**: 0.177 eV/f.u.
**Calculated total energy**: -82.454 eV per cell

extended XYZ file:
```
8
Lattice="3.477 -4.731 0.000 3.477 4.731 0.000 0.000 0.000 4.723" Properties=species:S:1:pos:R:3 pbc="T T T"
Sc 3.477 3.654 3.542
Sc 3.477 -3.654 1.181
Ta 1.978 1.196 3.542
Ta 3.477 1.262 1.181
Ta 1.978 -1.196 1.181
Ta 4.976 1.196 3.542
Ta 3.477 -1.262 3.542
Ta 4.976 -1.196 1.181
```

=====

Below is crystalline Sc2Ta at its relaxed geometry, with properties calculated at the PBE level.

Values from the calculation:
**SG**: Cm
**Formation energy from the elements**: 0.1330 eV/atom
**Energy above the lowest structure with this stoichiometry**: 0.124 eV/f.u.
**Calculated total energy**: -48.234 eV per cell

extended XYZ file:
```
6
Lattice="5.828 -1.522 0.000 5.828 1.522 0.000 -4.573 0.000 7.307" Properties=species:S:1:pos:R:3 pbc="T T T"
Sc 0.000 0.000 0.000
Sc -0.130 0.000 4.962
Sc 4.382 0.000 2.487
Sc 3.922 0.000 7.286
Ta 1.414 0.000 2.503
Ta 8.416 0.000 4.659
```